{"formula": "Na2GaGeH", "functional": "GGA-PBE", "state": "relaxed", "de_polymorph_ev_per_atom": 0.000, "total_energy_ev_per_atom": -2.83, "cell": [[6.3099, 0.0000, 0.0000], [0.0000, 4.1582, 0.0000], [-2.2010, 0.0000, 8.3468]], "species": ["Na", "Na", "Na", "Na", "Ga", "Ga", "Ge", "Ge", "H", "H"], "fractional_positions": [[0.1649, 0.2500, 0.4232], [0.2614, 0.7500, 0.0926], [0.7386, 0.2500, 0.9074], [0.8351, 0.7500, 0.5768], [0.3497, 0.7500, 0.7529], [0.6503, 0.2500, 0.2471], [0.1610, 0.2500, 0.7844], [0.8390, 0.7500, 0.2156], [0.3910, 0.2500, 0.2604], [0.6090, 0.7500, 0.7396]]}

=====

{"formula": "Y2TaO4", "functional": "GGA-PBE", "state": "relaxed", "total_energy_ev_per_atom": -8.87, "cell": [[4.0145, 0.0000, 0.0000], [0.0000, 4.0145, 0.0000], [0.0000, 0.0000, 12.2106]], "species": ["Y", "Y", "Y", "Y", "Ta", "Ta", "O", "O", "O", "O", "O", "O", "O", "O"], "fractional_positions": [[0.0000, 0.0000, 0.1550], [0.0000, 0.0000, 0.8450], [0.5000, 0.5000, 0.3450], [0.5000, 0.5000, 0.6550], [0.0000, 0.0000, 0.5000], [0.5000, 0.5000, 0.0000], [0.0000, 0.0000, 0.3297], [0.0000, 0.0000, 0.6703], [0.0000, 0.5000, 0.0000], [0.0000, 0.5000, 0.5000], [0.5000, 0.0000, 0.0000], [0.5000, 0.0000, 0.5000], [0.5000, 0.5000, 0.1703], [0.5000, 0.5000, 0.8297]]}

=====

{"formula": "LiAgTe2", "functional": "GGA-PBE", "state": "relaxed", "total_energy_ev_per_atom": -2.90, "cell": [[3.1750, 0.0000, 0.0000], [0.0000, 3.1750, 0.0000], [0.0000, 0.0000, 9.9373]], "species": ["Li", "Ag", "Te", "Te"], "fractional_positions": [[0.0000, 0.0000, 0.0000], [0.5000, 0.5000, 0.8084], [0.0000, 0.0000, 0.5821], [0.5000, 0.5000, 0.1936]]}

=====

{"formula": "MnSbCl5", "functional": "GGA-PBE", "state": "relaxed", "total_energy_ev_per_atom": -4.14, "cell": [[9.0237, 0.0000, 0.0000], [0.0000, 13.2780, 0.0000], [-1.9005, 0.0000, 8.1018]], "species": ["Mn", "Mn", "Mn", "Mn", "Sb", "Sb", "Sb", "Sb", "Cl", "Cl", "Cl", "Cl", "Cl", "Cl", "Cl", "Cl", "Cl", "Cl", "Cl", "Cl", "Cl", "Cl", "Cl", "Cl", "Cl", "Cl", "Cl", "Cl"], "fractional_positions": [[0.1036, 0.2488, 0.1519], [0.1036, 0.2512, 0.6519], [0.8964, 0.7488, 0.3481], [0.8964, 0.7512, 0.8481], [0.4937, 0.5047, 0.7481], [0.4937, 0.9953, 0.2481], [0.5063, 0.0047, 0.7519], [0.5063, 0.4953, 0.2519], [0.0336, 0.7471, 0.1321], [0.0336, 0.7529, 0.6321], [0.2218, 0.0891, 0.1785], [0.2218, 0.4109, 0.6785], [0.2324, 0.0951, 0.6857], [0.2324, 0.4049, 0.1857], [0.3987, 0.6184, 0.9315], [0.3988, 0.6186, 0.5179], [0.3988, 0.8814, 0.0179], [0.3987, 0.8816, 0.4315], [0.6013, 0.1184, 0.5685], [0.6012, 0.1186, 0.9821], [0.6012, 0.3814, 0.4821], [0.6013, 0.3816, 0.0685], [0.7676, 0.5951, 0.8143], [0.7676, 0.9049, 0.3143], [0.7782, 0.5891, 0.3215], [0.7782, 0.9109, 0.8215], [0.9664, 0.2471, 0.3679], [0.9664, 0.2529, 0.8679]]}